Computed, not measured: an optimized crystal structure of ZrAl2 at the GGA-PBE level of DFT.

* ΔE_f: 2.28 eV per formula unit
* total moment: 0.000 Bohr magnetons per cell
* space group: Pa-3 (205)
* crystal system: cubic

Cell: 6.649 6.649 6.649 Å, 90.00 90.00 90.00°
Positions (direct):
Zr: 0.000 0.000 0.000
Zr: 0.000 0.500 0.500
Zr: 0.500 0.000 0.500
Zr: 0.500 0.500 0.000
Al: 0.121 0.621 0.879
Al: 0.121 0.879 0.379
Al: 0.379 0.121 0.879
Al: 0.379 0.379 0.379
Al: 0.621 0.621 0.621
Al: 0.621 0.879 0.121
Al: 0.879 0.121 0.621
Al: 0.879 0.379 0.121